Record 1
Entry from the Alexandria database: a geometry-optimized Nd2NbC structure (PBE-GGA).

Output
D(E_F): 3.85 states/eV per cell
Space-group type: No. 166
Spin magnetization: 0.3417 μB per atom
Volume: 96.1 Å³/cell
E: -6.594 eV per atom

Geometry as POSCAR:
```
Nd2NbC
1.0
1.733 1.001 9.234
-1.733 1.001 9.234
0.000 -2.001 9.234
Nd Nb C
2 1 1
direct
0.114 0.114 0.114 Nd
0.886 0.886 0.886 Nd
0.000 0.000 0.000 Nb
0.500 0.500 0.500 C
```

***

Record 2
Entry from the Alexandria database: a geometry-optimized Nb7Ni2C2 structure (PBE-GGA).

Output
D(E_F): 9.65 states/eV per cell
Space-group type: No. 44
Spin magnetization: 0.0000 μB per atom
Volume: 162.3 Å³/cell
E: -9.169 eV per atom

Geometry as POSCAR:
```
Nb7Ni2C2
1.0
-1.564 6.912 3.753
1.564 -6.912 3.753
1.564 6.912 -3.753
Nb Ni C
7 2 2
direct
0.000 0.000 0.000 Nb
0.287 0.416 0.871 Nb
0.291 0.608 0.683 Nb
0.545 0.416 0.129 Nb
0.589 0.248 0.342 Nb
0.906 0.248 0.658 Nb
0.925 0.608 0.317 Nb
0.273 0.773 0.500 Ni
0.659 0.659 0.000 Ni
0.164 0.910 0.254 C
0.655 0.910 0.746 C
```

***

Record 3
Entry from the Alexandria database: a geometry-optimized NbNi2C structure (PBE-GGA).

Output
D(E_F): 6.70 states/eV per cell
Space-group type: No. 122
Spin magnetization: 0.0000 μB per atom
Volume: 94.4 Å³/cell
E: -7.522 eV per atom

Geometry as POSCAR:
```
NbNi2C
1.0
-3.242 3.242 2.245
3.242 -3.242 2.245
3.242 3.242 -2.245
Nb Ni C
2 4 2
direct
0.000 0.000 0.000 Nb
0.750 0.250 0.500 Nb
0.229 0.625 0.104 Ni
0.375 0.479 0.604 Ni
0.521 0.125 0.896 Ni
0.875 0.771 0.396 Ni
0.250 0.750 0.500 C
0.500 0.500 0.000 C
```

***

Record 4
Entry from the Alexandria database: a geometry-optimized Nb4NiC2 structure (PBE-GGA).

Output
D(E_F): 9.90 states/eV per cell
Space-group type: No. 63
Spin magnetization: 0.0000 μB per atom
Volume: 191.6 Å³/cell
E: -9.652 eV per atom

Geometry as POSCAR:
```
Nb4NiC2
1.0
1.616 -5.278 0.000
1.616 5.278 0.000
0.000 0.000 11.229
Nb Ni C
8 2 4
direct
0.000 0.000 0.000 Nb
0.000 0.000 0.500 Nb
0.265 0.735 0.609 Nb
0.265 0.735 0.891 Nb
0.427 0.573 0.250 Nb
0.573 0.427 0.750 Nb
0.735 0.265 0.109 Nb
0.735 0.265 0.391 Nb
0.110 0.890 0.250 Ni
0.890 0.110 0.750 Ni
0.365 0.635 0.063 C
0.365 0.635 0.437 C
0.635 0.365 0.563 C
0.635 0.365 0.937 C
```